w:
# Ta3OsPb | the Alexandria database | PBE-GGA | optimized geometry
data_Ta3OsPb
_cell_length_a 4.900
_cell_length_b 4.900
_cell_length_c 4.900
_cell_angle_alpha 90.00
_cell_angle_beta 90.00
_cell_angle_gamma 90.00
_space_group_name_H-M_alt 'P m -3 m'
_space_group_IT_number 221
_space_group_name_Hall '-P 4 2 3'
loop_
_atom_site_label
_atom_site_fract_x
_atom_site_fract_y
_atom_site_fract_z
_atom_site_occupancy
Ta1 0.000 0.000 0.500 1
Os1 0.000 0.000 0.000 1
Pb1 0.500 0.500 0.500 1
# magnetic moment	0.00	Bohr magnetons per cell

***

x:
# Ta3OsPb | the Alexandria database | PBE-GGA | optimized geometry
data_Ta3OsPb
_cell_length_a 4.985
_cell_length_b 4.985
_cell_length_c 4.985
_cell_angle_alpha 90.00
_cell_angle_beta 90.00
_cell_angle_gamma 90.00
_space_group_name_H-M_alt 'P m -3 m'
_space_group_IT_number 221
_space_group_name_Hall '-P 4 2 3'
loop_
_atom_site_label
_atom_site_fract_x
_atom_site_fract_y
_atom_site_fract_z
_atom_site_occupancy
Ta1 0.000 0.000 0.500 1
Os1 0.500 0.500 0.500 1
Pb1 0.000 0.000 0.000 1
# magnetic moment	0.56	Bohr magnetons per cell

***

w (1.903 eV/atom below the next structure)

***

w:
# TaOs3Pb | the Alexandria database | PBE-GGA | optimized geometry
data_TaOs3Pb
_cell_length_a 4.835
_cell_length_b 4.835
_cell_length_c 4.835
_cell_angle_alpha 90.00
_cell_angle_beta 90.00
_cell_angle_gamma 90.00
_space_group_name_H-M_alt 'P m -3 m'
_space_group_IT_number 221
_space_group_name_Hall '-P 4 2 3'
loop_
_atom_site_label
_atom_site_fract_x
_atom_site_fract_y
_atom_site_fract_z
_atom_site_occupancy
Ta1 0.000 0.000 0.000 1
Os1 0.000 0.000 0.500 1
Pb1 0.500 0.500 0.500 1
# magnetic moment	0.53	Bohr magnetons per cell

***

x:
# TaOs3Pb | the Alexandria database | PBE-GGA | optimized geometry
data_TaOs3Pb
_cell_length_a 4.811
_cell_length_b 4.811
_cell_length_c 4.811
_cell_angle_alpha 90.00
_cell_angle_beta 90.00
_cell_angle_gamma 90.00
_space_group_name_H-M_alt 'P m -3 m'
_space_group_IT_number 221
_space_group_name_Hall '-P 4 2 3'
loop_
_atom_site_label
_atom_site_fract_x
_atom_site_fract_y
_atom_site_fract_z
_atom_site_occupancy
Ta1 0.000 0.000 0.000 1
Os1 0.000 0.500 0.500 1
Pb1 0.500 0.500 0.500 1
# magnetic moment	0.00	Bohr magnetons per cell

***

w (1.049 eV/atom below the next structure)

***

w:
# Tb2OsPb | the Alexandria database | PBE-GGA | optimized geometry
data_Tb2OsPb
_cell_length_a 3.9131
_cell_length_b 3.9131
_cell_length_c 29.1422
_cell_angle_alpha 90.00
_cell_angle_beta 90.00
_cell_angle_gamma 120.00
_space_group_name_H-M_alt 'R -3 m'
_space_group_IT_number 166
_space_group_name_Hall '-R 3 2"'
loop_
_atom_site_label
_atom_site_fract_x
_atom_site_fract_y
_atom_site_fract_z
_atom_site_occupancy
Tb1 0.0000 0.0000 0.1134 1
Os1 0.0000 0.0000 0.5000 1
Pb1 0.0000 0.0000 0.0000 1
# magnetic moment	0.00	Bohr magnetons per cell

***

x:
# Tb2OsPb | the Alexandria database | PBE-GGA | optimized geometry
data_Tb2OsPb
_cell_length_a 3.410
_cell_length_b 3.410
_cell_length_c 8.526
_cell_angle_alpha 90.00
_cell_angle_beta 90.00
_cell_angle_gamma 90.00
_space_group_name_H-M_alt 'P 4/m m m'
_space_group_IT_number 123
_space_group_name_Hall '-P 4 2'
loop_
_atom_site_label
_atom_site_fract_x
_atom_site_fract_y
_atom_site_fract_z
_atom_site_occupancy
Tb1 0.000 0.000 0.197 1
Os1 0.500 0.500 0.000 1
Pb1 0.500 0.500 0.500 1
# magnetic moment	0.00	Bohr magnetons per cell

***

x (0.476 eV/atom below the next structure)

***

w:
# TcOsPb | the Alexandria database | PBE-GGA | optimized geometry
data_TcOsPb
_cell_length_a 6.211
_cell_length_b 6.211
_cell_length_c 6.211
_cell_angle_alpha 90.00
_cell_angle_beta 90.00
_cell_angle_gamma 90.00
_space_group_name_H-M_alt 'F -4 3 m'
_space_group_IT_number 216
_space_group_name_Hall 'F -4 2 3'
loop_
_atom_site_label
_atom_site_fract_x
_atom_site_fract_y
_atom_site_fract_z
_atom_site_occupancy
Tc1 0.000 0.000 0.000 1
Os1 0.250 0.250 0.250 1
Pb1 0.000 0.000 0.500 1
# magnetic moment	0.00	Bohr magnetons per cell

***

x:
# TcOsPb | the Alexandria database | PBE-GGA | optimized geometry
data_TcOsPb
_cell_length_a 2.9597
_cell_length_b 2.9597
_cell_length_c 7.1163
_cell_angle_alpha 90.00
_cell_angle_beta 90.00
_cell_angle_gamma 120.00
_space_group_name_H-M_alt 'P 3 m 1'
_space_group_IT_number 156
_space_group_name_Hall 'P 3 -2"'
loop_
_atom_site_label
_atom_site_fract_x
_atom_site_fract_y
_atom_site_fract_z
_atom_site_occupancy
Tc1 0.0000 0.0000 0.0000 1
Os1 0.6667 0.3333 0.2746 1
Pb1 0.3333 0.6667 0.6402 1
# magnetic moment	0.00	Bohr magnetons per cell

***

y:
# TcOsPb | the Alexandria database | PBE-GGA | optimized geometry
data_TcOsPb
_cell_length_a 2.987
_cell_length_b 2.987
_cell_length_c 12.292
_cell_angle_alpha 90.00
_cell_angle_beta 90.00
_cell_angle_gamma 90.00
_space_group_name_H-M_alt 'I 4 m m'
_space_group_IT_number 107
_space_group_name_Hall 'I 4 -2'
loop_
_atom_site_label
_atom_site_fract_x
_atom_site_fract_y
_atom_site_fract_z
_atom_site_occupancy
Tc1 0.000 0.000 0.000 1
Os1 0.000 0.000 0.380 1
Pb1 0.000 0.000 0.689 1
# magnetic moment	0.00	Bohr magnetons per cell

***

y (0.137 eV/atom below the next structure)

***

w:
# TeOsPb | the Alexandria database | PBE-GGA | optimized geometry
data_TeOsPb
_cell_length_a 6.531
_cell_length_b 3.306
_cell_length_c 7.726
_cell_angle_alpha 90.00
_cell_angle_beta 111.49
_cell_angle_gamma 90.00
_space_group_name_H-M_alt 'P 1 m 1'
_space_group_IT_number 6
_space_group_name_Hall 'P -2y'
loop_
_atom_site_label
_atom_site_fract_x
_atom_site_fract_y
_atom_site_fract_z
_atom_site_occupancy
Te1 0.000 0.000 0.000 1
Te2 0.458 0.500 0.884 1
Os1 0.334 0.500 0.172 1
Os2 0.686 0.000 0.152 1
Pb1 0.054 0.500 0.399 1
Pb2 0.592 0.000 0.488 1
# magnetic moment	0.00	Bohr magnetons per cell

***

x:
# TeOsPb | the Alexandria database | PBE-GGA | optimized geometry
data_TeOsPb
_cell_length_a 14.292
_cell_length_b 3.852
_cell_length_c 5.618
_cell_angle_alpha 90.00
_cell_angle_beta 100.35
_cell_angle_gamma 90.00
_space_group_name_H-M_alt 'C 1 2/m 1'
_space_group_IT_number 12
_space_group_name_Hall '-C 2y'
loop_
_atom_site_label
_atom_site_fract_x
_atom_site_fract_y
_atom_site_fract_z
_atom_site_occupancy
Te1 0.161 0.000 0.355 1
Os1 0.241 0.000 0.837 1
Pb1 0.081 0.500 0.805 1
# magnetic moment	0.00	Bohr magnetons per cell

***

x (0.039 eV/atom below the next structure)

***

w:
# Th3OsPb | the Alexandria database | PBE-GGA | optimized geometry
data_Th3OsPb
_cell_length_a 8.605
_cell_length_b 4.568
_cell_length_c 15.175
_cell_angle_alpha 90.00
_cell_angle_beta 90.00
_cell_angle_gamma 90.00
_space_group_name_H-M_alt 'P n m a'
_space_group_IT_number 62
_space_group_name_Hall '-P 2ac 2n'
loop_
_atom_site_label
_atom_site_fract_x
_atom_site_fract_y
_atom_site_fract_z
_atom_site_occupancy
Th1 0.029 0.250 0.101 1
Th2 0.143 0.250 0.504 1
Th3 0.185 0.750 0.282 1
Os1 0.180 0.250 0.939 1
Pb1 0.091 0.750 0.679 1
# magnetic moment	0.00	Bohr magnetons per cell

***

x:
# Th3OsPb | the Alexandria database | PBE-GGA | optimized geometry
data_Th3OsPb
_cell_length_a 5.515
_cell_length_b 5.515
_cell_length_c 5.515
_cell_angle_alpha 90.00
_cell_angle_beta 90.00
_cell_angle_gamma 90.00
_space_group_name_H-M_alt 'P m -3 m'
_space_group_IT_number 221
_space_group_name_Hall '-P 4 2 3'
loop_
_atom_site_label
_atom_site_fract_x
_atom_site_fract_y
_atom_site_fract_z
_atom_site_occupancy
Th1 0.000 0.000 0.500 1
Os1 0.000 0.000 0.000 1
Pb1 0.500 0.500 0.500 1
# magnetic moment	0.00	Bohr magnetons per cell

***

w (0.198 eV/atom below the next structure)

***

w:
# TiOsPb2 | the Alexandria database | PBE-GGA | optimized geometry
data_TiOsPb2
_cell_length_a 6.821
_cell_length_b 6.821
_cell_length_c 6.821
_cell_angle_alpha 90.00
_cell_angle_beta 90.00
_cell_angle_gamma 90.00
_space_group_name_H-M_alt 'F m -3 m'
_space_group_IT_number 225
_space_group_name_Hall '-F 4 2 3'
loop_
_atom_site_label
_atom_site_fract_x
_atom_site_fract_y
_atom_site_fract_z
_atom_site_occupancy
Ti1 0.000 0.000 0.000 1
Os1 0.000 0.000 0.500 1
Pb1 0.250 0.250 0.250 1
# magnetic moment	0.00	Bohr magnetons per cell

***

x:
# TiOsPb2 | the Alexandria database | PBE-GGA | optimized geometry
data_TiOsPb2
_cell_length_a 4.209
_cell_length_b 4.209
_cell_length_c 20.034
_cell_angle_alpha 90.00
_cell_angle_beta 90.00
_cell_angle_gamma 90.00
_space_group_name_H-M_alt 'I -4 2 d'
_space_group_IT_number 122
_space_group_name_Hall 'I -4 2bw'
loop_
_atom_site_label
_atom_site_fract_x
_atom_site_fract_y
_atom_site_fract_z
_atom_site_occupancy
Ti1 0.000 0.000 0.000 1
Os1 0.000 0.000 0.500 1
Pb1 0.248 0.250 0.625 1
# magnetic moment	0.00	Bohr magnetons per cell

***

w (0.195 eV/atom below the next structure)

***

w:
# Tl2OsPb | the Alexandria database | PBE-GGA | optimized geometry
data_Tl2OsPb
_cell_length_a 3.300
_cell_length_b 3.302
_cell_length_c 9.179
_cell_angle_alpha 90.00
_cell_angle_beta 90.03
_cell_angle_gamma 90.00
_space_group_name_H-M_alt 'P 1 m 1'
_space_group_IT_number 6
_space_group_name_Hall 'P -2y'
loop_
_atom_site_label
_atom_site_fract_x
_atom_site_fract_y
_atom_site_fract_z
_atom_site_occupancy
Tl1 0.000 0.000 0.000 1
Tl2 0.393 0.500 0.296 1
Os1 0.884 0.000 0.491 1
Pb1 0.389 0.500 0.678 1
# magnetic moment	0.00	Bohr magnetons per cell

***

x:
# Tl2OsPb | the Alexandria database | PBE-GGA | optimized geometry
data_Tl2OsPb
_cell_length_a 6.617
_cell_length_b 9.204
_cell_length_c 3.147
_cell_angle_alpha 90.00
_cell_angle_beta 90.00
_cell_angle_gamma 90.00
_space_group_name_H-M_alt 'C m m m'
_space_group_IT_number 65
_space_group_name_Hall '-C 2 2'
loop_
_atom_site_label
_atom_site_fract_x
_atom_site_fract_y
_atom_site_fract_z
_atom_site_occupancy
Tl1 0.250 0.250 0.000 1
Os1 0.000 0.000 0.500 1
Pb1 0.000 0.500 0.500 1
# magnetic moment	3.12	Bohr magnetons per cell

***

y:
# Tl2OsPb | the Alexandria database | PBE-GGA | optimized geometry
data_Tl2OsPb
_cell_length_a 3.479
_cell_length_b 5.094
_cell_length_c 5.303
_cell_angle_alpha 90.00
_cell_angle_beta 90.00
_cell_angle_gamma 90.00
_space_group_name_H-M_alt 'P m m m'
_space_group_IT_number 47
_space_group_name_Hall '-P 2 2'
loop_
_atom_site_label
_atom_site_fract_x
_atom_site_fract_y
_atom_site_fract_z
_atom_site_occupancy
Tl1 0.000 0.000 0.000 1
Tl2 0.500 0.000 0.500 1
Os1 0.000 0.500 0.500 1
Pb1 0.500 0.500 0.000 1
# magnetic moment	0.00	Bohr magnetons per cell

***

z:
# Tl2OsPb | the Alexandria database | PBE-GGA | optimized geometry
data_Tl2OsPb
_cell_length_a 5.257
_cell_length_b 4.326
_cell_length_c 5.909
_cell_angle_alpha 90.00
_cell_angle_beta 115.18
_cell_angle_gamma 90.00
_space_group_name_H-M_alt 'P 1 2/m 1'
_space_group_IT_number 10
_space_group_name_Hall '-P 2y'
loop_
_atom_site_label
_atom_site_fract_x
_atom_site_fract_y
_atom_site_fract_z
_atom_site_occupancy
Tl1 0.163 0.000 0.321 1
Os1 0.000 0.500 0.000 1
Pb1 0.500 0.500 0.000 1
# magnetic moment	0.00	Bohr magnetons per cell

***

w (0.155 eV/atom below the next structure)